Na5CoSO2 | OQMD | GGA+U | relaxed; DFT total energy = -3.9692 eV/atom; SG = P4/mmm, No. 123; magnetic moment = 2.00 μB per cell
1.0
-0.780 -4.483 0.337
1.275 0.107 4.380
-7.597 1.486 2.175
Na O S Co
5 2 1 1
direct
0.500 0.000 0.744
0.500 0.000 0.256
0.000 0.000 0.500
0.000 0.500 0.256
0.000 0.500 0.744
0.000 0.000 0.781
0.000 0.000 0.219
0.500 0.500 0.500
0.000 0.000 0.000